A plane-wave DFT calculation with GGA-PBE was carried out for crystalline Y2CrGe at its relaxed geometry.

Cell lengths 5.0659, 5.0659, 5.0659 Å; angles 60.00, 60.00, 60.00 degrees
Fractional coordinates of all 4 atoms:
Y 0.2500 0.2500 0.2500
Y 0.7500 0.7500 0.7500
Cr 0.0000 0.0000 0.0000
Ge 0.5000 0.5000 0.5000

Properties
* calculated formation energy: -138 meV/atom
* SG: Fm-3m
* ρ: 5.463 Mg/m³
* total moment: 3.9 μB/f.u.
* energy above the lowest structure with this stoichiometry: 0.00 eV/f.u.


A plane-wave DFT calculation with GGA-PBE was carried out for crystalline YCrGe3 at its relaxed geometry.

Cell lengths 5.2619, 5.2619, 5.2619 Å; angles 90.00, 90.00, 90.00 degrees
Fractional coordinates of all 5 atoms:
Y 0.0000 0.0000 0.0000
Cr 0.5000 0.5000 0.5000
Ge 0.0000 0.0000 0.5000
Ge 0.0000 0.5000 0.0000
Ge 0.5000 0.0000 0.0000

Properties
* calculated formation energy: 1521 meV/atom
* SG: Pm-3m
* ρ: 4.090 Mg/m³
* total moment: 0.9 μB/f.u.


A plane-wave DFT calculation with GGA-PBE was carried out for crystalline Y2CrGe2 at its relaxed geometry.

Cell lengths 7.8356, 7.8356, 3.6744 Å; angles 90.00, 90.00, 90.00 degrees
Fractional coordinates of all 10 atoms:
Y 0.1409 0.3591 0.0000
Y 0.3591 0.8591 0.0000
Y 0.6409 0.1409 0.0000
Y 0.8591 0.6409 0.0000
Cr 0.0000 0.0000 0.0000
Cr 0.5000 0.5000 0.0000
Ge 0.1692 0.6692 0.5000
Ge 0.3308 0.1692 0.5000
Ge 0.6692 0.8308 0.5000
Ge 0.8308 0.3308 0.5000

Properties
* calculated formation energy: 344 meV/atom
* SG: P4/mbm
* ρ: 5.522 Mg/m³
* total moment: 0.1 μB/f.u.


A plane-wave DFT calculation with GGA-PBE was carried out for crystalline YCr2Ge2 at its relaxed geometry.

Cell lengths 7.3627, 7.3627, 2.9688 Å; angles 90.00, 90.00, 90.00 degrees
Fractional coordinates of all 10 atoms:
Y 0.0000 0.0000 0.0000
Y 0.5000 0.5000 0.0000
Cr 0.1407 0.3593 0.5000
Cr 0.3593 0.8593 0.5000
Cr 0.6407 0.1407 0.5000
Cr 0.8593 0.6407 0.5000
Ge 0.1432 0.6432 0.0000
Ge 0.3568 0.1432 0.0000
Ge 0.6432 0.8568 0.0000
Ge 0.8568 0.3568 0.0000

Properties
* calculated formation energy: 40 meV/atom
* SG: P4/mbm
* ρ: 6.979 Mg/m³
* total moment: 0.0 μB/f.u.


A plane-wave DFT calculation with GGA-PBE was carried out for crystalline Y2CrGe2 at its relaxed geometry.

Cell lengths 6.9406, 6.9406, 4.4015 Å; angles 90.00, 90.00, 90.00 degrees
Fractional coordinates of all 10 atoms:
Y 0.1747 0.3253 0.0000
Y 0.3253 0.8253 0.0000
Y 0.6747 0.1747 0.0000
Y 0.8253 0.6747 0.0000
Cr 0.0000 0.0000 0.5000
Cr 0.5000 0.5000 0.5000
Ge 0.1330 0.6330 0.5000
Ge 0.3670 0.1330 0.5000
Ge 0.6330 0.8670 0.5000
Ge 0.8670 0.3670 0.5000

Properties
* calculated formation energy: -591 meV/atom
* SG: P4/mbm
* ρ: 5.875 Mg/m³
* total moment: 3.5 μB/f.u.


A plane-wave DFT calculation with GGA-PBE was carried out for crystalline YCrGe3 at its relaxed geometry.

Cell lengths 4.6621, 4.6621, 4.6621 Å; angles 90.00, 90.00, 90.00 degrees
Fractional coordinates of all 5 atoms:
Y 0.0000 0.0000 0.0000
Cr 0.5000 0.5000 0.5000
Ge 0.0000 0.5000 0.5000
Ge 0.5000 0.0000 0.5000
Ge 0.5000 0.5000 0.0000

Properties
* calculated formation energy: 34 meV/atom
* SG: Pm-3m
* ρ: 5.880 Mg/m³
* total moment: 0.8 μB/f.u.


A plane-wave DFT calculation with GGA-PBE was carried out for crystalline YCr4Ge6 at its relaxed geometry.

Cell lengths 6.3685, 6.3685, 6.3564 Å; angles 118.63, 118.63, 92.27 degrees
Fractional coordinates of all 11 atoms:
Y 0.0000 0.0000 0.0000
Cr 0.2788 0.2788 0.6906
Cr 0.4102 0.7209 0.0020
Cr 0.5924 0.5924 0.3123
Cr 0.7209 0.4102 0.0020
Ge 0.0011 0.4984 0.5001
Ge 0.0936 0.4758 0.0006
Ge 0.4758 0.0936 0.0006
Ge 0.4984 0.0011 0.5001
Ge 0.5252 0.5252 0.6201
Ge 0.9070 0.9070 0.3833

Properties
* calculated formation energy: -66 meV/atom
* SG: Cm
* ρ: 6.538 Mg/m³
* total moment: 0.0 μB/f.u.


A plane-wave DFT calculation with GGA-PBE was carried out for crystalline Y3CrGe at its relaxed geometry.

Cell lengths 5.4428, 5.4428, 5.4428 Å; angles 90.00, 90.00, 90.00 degrees
Fractional coordinates of all 5 atoms:
Y 0.0000 0.0000 0.5000
Y 0.0000 0.5000 0.0000
Y 0.5000 0.0000 0.0000
Cr 0.5000 0.5000 0.5000
Ge 0.0000 0.0000 0.0000

Properties
* calculated formation energy: 261 meV/atom
* SG: Pm-3m
* ρ: 4.030 Mg/m³
* total moment: 6.8 μB/f.u.
* energy above the lowest structure with this stoichiometry: 0.00 eV/f.u.


A plane-wave DFT calculation with GGA-PBE was carried out for crystalline YZnCr2Ge at its relaxed geometry.

Cell lengths 4.6543, 4.6543, 5.2754 Å; angles 90.00, 90.00, 90.00 degrees
Fractional coordinates of all 5 atoms:
Y 0.0000 0.0000 0.0000
Zn 0.0000 0.0000 0.5000
Cr 0.0000 0.5000 0.5000
Cr 0.5000 0.0000 0.5000
Ge 0.5000 0.5000 0.0000

Properties
* calculated formation energy: 773 meV/atom
* SG: P4/mmm
* ρ: 4.809 Mg/m³
* total moment: 6.8 μB/f.u.


A plane-wave DFT calculation with GGA-PBE was carried out for crystalline Zn2CrGe at its relaxed geometry.

Cell lengths 5.5923, 5.5923, 5.5923 Å; angles 101.10, 101.10, 127.95 degrees
Fractional coordinates of all 8 atoms:
Zn 0.1233 0.1250 0.4983
Zn 0.3750 0.8767 0.0017
Zn 0.6267 0.6250 0.5017
Zn 0.8750 0.3733 0.9983
Cr 0.0000 0.0000 0.0000
Cr 0.7500 0.2500 0.5000
Ge 0.2500 0.7500 0.5000
Ge 0.5000 0.5000 0.0000

Properties
* calculated formation energy: 468 meV/atom
* SG: I-42d
* ρ: 6.846 Mg/m³
* total moment: 0.0 μB/f.u.


A plane-wave DFT calculation with GGA-PBE was carried out for crystalline ZnCrGe at its relaxed geometry.

Cell lengths 3.1844, 3.1844, 8.5071 Å; angles 90.00, 90.00, 90.00 degrees
Fractional coordinates of all 6 atoms:
Zn 0.2500 0.2500 0.0787
Zn 0.7500 0.7500 0.9213
Cr 0.2500 0.2500 0.7312
Cr 0.7500 0.7500 0.2688
Ge 0.2500 0.2500 0.4056
Ge 0.7500 0.7500 0.5944

Properties
* calculated formation energy: 177 meV/atom
* SG: P4/nmm
* ρ: 7.316 Mg/m³
* total moment: 2.0 μB/f.u.


A plane-wave DFT calculation with GGA-PBE was carried out for crystalline ZnCrGe at its relaxed geometry.

Cell lengths 4.3032, 4.3032, 2.5750 Å; angles 90.00, 90.00, 120.00 degrees
Fractional coordinates of all 3 atoms:
Zn 0.0000 0.0000 0.0000
Cr 0.3333 0.6667 0.5000
Ge 0.6667 0.3333 0.0000

Properties
* calculated formation energy: 335 meV/atom
* SG: P-6m2
* ρ: 7.642 Mg/m³
* total moment: 0.6 μB/f.u.


A plane-wave DFT calculation with GGA-PBE was carried out for crystalline Zn2Cr2Ge at its relaxed geometry.

Cell lengths 6.0428, 6.0428, 3.9913 Å; angles 90.00, 90.00, 90.00 degrees
Fractional coordinates of all 10 atoms:
Zn 0.1684 0.3316 0.0000
Zn 0.3316 0.8316 0.0000
Zn 0.6684 0.1684 0.0000
Zn 0.8316 0.6684 0.0000
Cr 0.1231 0.6231 0.5000
Cr 0.3769 0.1231 0.5000
Cr 0.6231 0.8769 0.5000
Cr 0.8769 0.3769 0.5000
Ge 0.0000 0.0000 0.5000
Ge 0.5000 0.5000 0.5000

Properties
* calculated formation energy: 203 meV/atom
* SG: P4/mbm
* ρ: 7.006 Mg/m³
* total moment: 0.0 μB/f.u.


A plane-wave DFT calculation with GGA-PBE was carried out for crystalline ZnCr2Ge at its relaxed geometry.

Cell lengths 5.4045, 5.4045, 5.4045 Å; angles 102.88, 102.88, 123.66 degrees
Fractional coordinates of all 8 atoms:
Zn 0.0000 0.0000 0.0000
Zn 0.7500 0.2500 0.5000
Cr 0.1355 0.6250 0.0105
Cr 0.3750 0.3855 0.5105
Cr 0.6145 0.1250 0.9895
Cr 0.8750 0.8645 0.4895
Ge 0.2500 0.7500 0.5000
Ge 0.5000 0.5000 0.0000

Properties
* calculated formation energy: 592 meV/atom
* SG: I-42d
* ρ: 6.940 Mg/m³
* total moment: 2.5 μB/f.u.


A plane-wave DFT calculation with GGA-PBE was carried out for crystalline Zn2CrGe at its relaxed geometry.

Cell lengths 3.7942, 3.7942, 4.0849 Å; angles 90.00, 90.00, 90.00 degrees
Fractional coordinates of all 4 atoms:
Zn 0.0000 0.5000 0.0000
Zn 0.5000 0.0000 0.0000
Cr 0.0000 0.0000 0.5000
Ge 0.5000 0.5000 0.5000

Properties
* calculated formation energy: 92 meV/atom
* SG: P4/mmm
* ρ: 7.214 Mg/m³
* total moment: 3.0 μB/f.u.


A plane-wave DFT calculation with GGA-PBE was carried out for crystalline ZrCrGe3 at its relaxed geometry.

Cell lengths 4.5977, 4.5977, 4.5977 Å; angles 90.00, 90.00, 90.00 degrees
Fractional coordinates of all 5 atoms:
Zr 0.0000 0.0000 0.0000
Cr 0.5000 0.5000 0.5000
Ge 0.0000 0.5000 0.5000
Ge 0.5000 0.0000 0.5000
Ge 0.5000 0.5000 0.0000

Properties
* calculated formation energy: 383 meV/atom
* SG: Pm-3m
* ρ: 6.170 Mg/m³
* total moment: 0.7 μB/f.u.


A plane-wave DFT calculation with GGA-PBE was carried out for crystalline Zr2CrGe2 at its relaxed geometry.

Cell lengths 6.6762, 6.6762, 3.9216 Å; angles 90.00, 90.00, 90.00 degrees
Fractional coordinates of all 10 atoms:
Zr 0.1722 0.3278 0.0000
Zr 0.3278 0.8278 0.0000
Zr 0.6722 0.1722 0.0000
Zr 0.8278 0.6722 0.0000
Cr 0.0000 0.0000 0.5000
Cr 0.5000 0.5000 0.5000
Ge 0.1358 0.6358 0.5000
Ge 0.3642 0.1358 0.5000
Ge 0.6358 0.8642 0.5000
Ge 0.8642 0.3642 0.5000

Properties
* calculated formation energy: -540 meV/atom
* SG: P4/mbm
* ρ: 7.215 Mg/m³
* total moment: 0.0 μB/f.u.


A plane-wave DFT calculation with GGA-PBE was carried out for crystalline Zr2CrGe at its relaxed geometry.

Cell lengths 5.8947, 5.8947, 5.8947 Å; angles 103.17, 103.17, 122.98 degrees
Fractional coordinates of all 8 atoms:
Zr 0.1038 0.6250 0.9788
Zr 0.3750 0.3538 0.4788
Zr 0.6462 0.1250 0.0212
Zr 0.8750 0.8962 0.5212
Cr 0.0000 0.0000 0.0000
Cr 0.7500 0.2500 0.5000
Ge 0.2500 0.7500 0.5000
Ge 0.5000 0.5000 0.0000

Properties
* calculated formation energy: 321 meV/atom
* SG: I-42d
* ρ: 6.755 Mg/m³
* total moment: 0.0 μB/f.u.


A plane-wave DFT calculation with GGA-PBE was carried out for crystalline Zr3CrGe at its relaxed geometry.

Cell lengths 4.7825, 4.7825, 4.7825 Å; angles 90.00, 90.00, 90.00 degrees
Fractional coordinates of all 5 atoms:
Zr 0.0000 0.0000 0.5000
Zr 0.0000 0.5000 0.0000
Zr 0.5000 0.0000 0.0000
Cr 0.0000 0.0000 0.0000
Ge 0.5000 0.5000 0.5000

Properties
* calculated formation energy: 441 meV/atom
* SG: Pm-3m
* ρ: 6.046 Mg/m³
* total moment: 0.0 μB/f.u.
* energy above the lowest structure with this stoichiometry: 0.00 eV/f.u.


A plane-wave DFT calculation with GGA-PBE was carried out for crystalline ZrCrGe3 at its relaxed geometry.

Cell lengths 5.1596, 5.1596, 5.1596 Å; angles 90.00, 90.00, 90.00 degrees
Fractional coordinates of all 5 atoms:
Zr 0.0000 0.0000 0.0000
Cr 0.5000 0.5000 0.5000
Ge 0.0000 0.0000 0.5000
Ge 0.0000 0.5000 0.0000
Ge 0.5000 0.0000 0.0000

Properties
* calculated formation energy: 796 meV/atom
* SG: Pm-3m
* ρ: 4.366 Mg/m³
* total moment: 4.4 μB/f.u.